Entry from Alexandria via LeMat-Bulk: a relaxed structure of BaEuCrBiO6 (PBE+U).

Output
SG: F-43m
E_tot: -7.275 eV per atom
Volume: 142.6 Å³ per cell
Spin magnetization: 9.99 μB/cell

a = 5.864 Å, b = 5.864 Å, c = 5.864 Å
α = 60.00°, β = 60.00°, γ = 60.00°
Sites, in units of the cell vectors:
Ba 0.000 0.000 0.000
Eu 0.500 0.500 0.500
Cr 0.750 0.750 0.750
Bi 0.250 0.250 0.250
O 0.506 0.506 0.994
O 0.506 0.994 0.506
O 0.506 0.994 0.994
O 0.994 0.506 0.506
O 0.994 0.506 0.994
O 0.994 0.994 0.506